Entry 1:
A relaxed structure of Ba2ZnPdO5. Source: the Alexandria database, functional GGA-PBE.

Values from the calculation:
Electronic total energy ... -98.92 eV per cell
Energy relative to the elements, uncorrected ... -1.5954 eV/atom
Size of the total moment ... 0.00 μB/f.u.

```
Ba2ZnPdO5
1.0
1.7215 -7.7411 0.0000
1.7215 7.7411 0.0000
0.0000 0.0000 10.6597
Ba Zn Pd O
4 2 2 10
Direct
0.1131 0.8869 0.5000
0.1262 0.8738 0.1160
0.8738 0.1262 0.6160
0.8869 0.1131 0.0000
0.4400 0.5600 0.2686
0.5600 0.4400 0.7686
0.2145 0.7855 0.8292
0.7855 0.2145 0.3292
0.0790 0.9210 0.8540
0.2820 0.7180 0.4468
0.3005 0.6995 0.2109
0.3460 0.6540 0.8125
0.4955 0.5045 0.1078
0.5045 0.4955 0.6078
0.6540 0.3460 0.3125
0.6995 0.3005 0.7109
0.7180 0.2820 0.9468
0.9210 0.0790 0.3540
```

=====

Entry 2:
A relaxed structure of BaZnPdO. Source: the Alexandria database, functional GGA-PBE.

Values from the calculation:
Electronic total energy ... -37.48 eV per cell
Energy relative to the elements, uncorrected ... -1.3485 eV/atom
Size of the total moment ... 0.00 μB/f.u.

```
BaZnPdO
1.0
4.1261 0.0000 0.0000
0.0000 4.1261 0.0000
0.0000 0.0000 9.3845
Ba Zn Pd O
2 2 2 2
Direct
0.2500 0.2500 0.1537
0.7500 0.7500 0.8463
0.2500 0.2500 0.6589
0.7500 0.7500 0.3411
0.2500 0.7500 0.5000
0.7500 0.2500 0.5000
0.2500 0.2500 0.8730
0.7500 0.7500 0.1270
```

=====

Entry 3:
A relaxed structure of Ba3Zn2PdO6. Source: the Alexandria database, functional GGA-PBE.

Values from the calculation:
Electronic total energy ... -62.12 eV per cell
Energy relative to the elements, uncorrected ... -1.5714 eV/atom
Size of the total moment ... 0.00 μB/f.u.

```
Ba3Zn2PdO6
1.0
5.9908 0.0000 0.0000
-2.9954 5.1882 0.0000
0.0000 0.0000 6.9191
Ba Zn Pd O
3 2 1 6
Direct
0.0000 0.0000 0.0000
0.3333 0.6667 0.6411
0.6667 0.3333 0.3589
0.3333 0.6667 0.1959
0.6667 0.3333 0.8041
0.0000 0.0000 0.5000
0.1631 0.3263 0.3115
0.1631 0.8369 0.3115
0.3263 0.1631 0.6885
0.6737 0.8369 0.3115
0.8369 0.1631 0.6885
0.8369 0.6737 0.6885
```

=====

Entry 4:
A relaxed structure of BaZrPdO4. Source: the Alexandria database, functional GGA-PBE.

Values from the calculation:
Electronic total energy ... -101.82 eV per cell
Energy relative to the elements, uncorrected ... -2.2018 eV/atom
Size of the total moment ... 0.00 μB/f.u.

```
BaZrPdO4
1.0
-3.1452 3.2089 5.8316
3.1452 -3.2089 5.8316
3.1452 3.2089 -5.8316
Ba Zr Pd O
2 2 2 8
Direct
0.4096 0.1596 0.2500
0.5904 0.8404 0.7500
0.0000 0.5000 0.5000
0.5000 0.5000 0.0000
0.0000 0.0000 0.5000
0.0000 0.5000 0.0000
0.1399 0.6913 0.4486
0.2573 0.3087 0.9486
0.2678 0.3063 0.5384
0.2678 0.7294 0.9616
0.7322 0.2706 0.0384
0.7322 0.6937 0.4616
0.7427 0.6913 0.0514
0.8601 0.3087 0.5514
```

=====

Entry 5:
A relaxed structure of Ba2ZrPd2O6. Source: the Alexandria database, functional GGA-PBE.

Values from the calculation:
Electronic total energy ... -72.07 eV per cell
Energy relative to the elements, uncorrected ... -1.7763 eV/atom
Size of the total moment ... 2.81 μB/f.u.

```
Ba2ZrPd2O6
1.0
3.1290 1.8065 5.6191
-3.1290 1.8065 5.6191
0.0000 -3.6131 5.6191
Ba Zr Pd O
2 1 2 6
Direct
0.2173 0.2173 0.2173
0.7827 0.7827 0.7827
0.0000 0.0000 0.0000
0.4131 0.4131 0.4131
0.5869 0.5869 0.5869
0.2133 0.7696 0.7696
0.2304 0.2304 0.7867
0.2304 0.7867 0.2304
0.7696 0.2133 0.7696
0.7696 0.7696 0.2133
0.7867 0.2304 0.2304
```

=====

Entry 6:
A relaxed structure of Ba3ZrPd2O6. Source: the Alexandria database, functional GGA-PBE.

Values from the calculation:
Electronic total energy ... -77.69 eV per cell
Energy relative to the elements, uncorrected ... -1.9369 eV/atom
Size of the total moment ... 0.00 μB/f.u.

```
Ba3ZrPd2O6
1.0
6.0207 0.0000 0.0000
-3.0103 5.2141 0.0000
0.0000 0.0000 6.8656
Ba Zr Pd O
3 1 2 6
Direct
0.0000 0.0000 0.0000
0.3333 0.6667 0.6418
0.6667 0.3333 0.3582
0.0000 0.0000 0.5000
0.3333 0.6667 0.1412
0.6667 0.3333 0.8588
0.1625 0.3251 0.3185
0.1625 0.8375 0.3185
0.3251 0.1625 0.6815
0.6749 0.8375 0.3185
0.8375 0.1625 0.6815
0.8375 0.6749 0.6815
```

=====

Entry 7:
A relaxed structure of BaPm2O. Source: the Alexandria database, functional GGA-PBE.

Values from the calculation:
Electronic total energy ... -62.74 eV per cell
Energy relative to the elements, uncorrected ... -1.1331 eV/atom
Size of the total moment ... 0.00 μB/f.u.

```
BaPm2O
1.0
3.7198 0.0000 0.0000
-1.8599 3.2214 0.0000
0.0000 0.0000 29.6849
Ba Pm O
3 6 3
Direct
0.0000 0.0000 0.0000
0.3333 0.6667 0.6667
0.6667 0.3333 0.3333
0.0000 0.0000 0.1226
0.0000 0.0000 0.8774
0.3333 0.6667 0.5441
0.3333 0.6667 0.7893
0.6667 0.3333 0.2107
0.6667 0.3333 0.4559
0.0000 0.0000 0.5000
0.3333 0.6667 0.1667
0.6667 0.3333 0.8333
```

=====

Entry 8:
A relaxed structure of BaPmO2. Source: the Alexandria database, functional GGA-PBE.

Values from the calculation:
Electronic total energy ... -80.47 eV per cell
Energy relative to the elements, uncorrected ... -2.5585 eV/atom
Size of the total moment ... 0.29 μB/f.u.
Relative energy among the computed polymorphs ... 0.118 eV/atom

```
BaPmO2
1.0
3.6277 0.0000 0.0000
-1.8138 3.1417 0.0000
0.0000 0.0000 19.9042
Ba Pm O
3 3 6
Direct
0.0000 0.0000 0.0000
0.3333 0.6667 0.6667
0.6667 0.3333 0.3333
0.0000 0.0000 0.8261
0.3333 0.6667 0.4927
0.6667 0.3333 0.1594
0.0000 0.0000 0.2224
0.0000 0.0000 0.4304
0.3333 0.6667 0.0971
0.3333 0.6667 0.8890
0.6667 0.3333 0.5557
0.6667 0.3333 0.7638
```